# 1
Pm12NdDy2 after structural relaxation. Source: the Alexandria database, functional PBE.

```
Pm12NdDy2
1.0
6.5232 0.0000 0.0000
0.0000 6.5232 0.0000
0.0000 0.0000 25.5225
Pm Nd Dy
24 2 4
direct
0.0670 0.5670 0.1160 Pm
0.0670 0.9330 0.8840 Pm
0.0822 0.5822 0.4380 Pm
0.0822 0.9178 0.5620 Pm
0.2500 0.2500 0.2166 Pm
0.2500 0.2500 0.3381 Pm
0.2500 0.2500 0.6619 Pm
0.2500 0.2500 0.7834 Pm
0.4178 0.5822 0.5620 Pm
0.4178 0.9178 0.4380 Pm
0.4330 0.5670 0.8840 Pm
0.4330 0.9330 0.1160 Pm
0.5670 0.0670 0.8840 Pm
0.5670 0.4330 0.1160 Pm
0.5822 0.0822 0.5620 Pm
0.5822 0.4178 0.4380 Pm
0.7500 0.7500 0.2166 Pm
0.7500 0.7500 0.3381 Pm
0.7500 0.7500 0.6619 Pm
0.7500 0.7500 0.7834 Pm
0.9178 0.0822 0.4380 Pm
0.9178 0.4178 0.5620 Pm
0.9330 0.0670 0.1160 Pm
0.9330 0.4330 0.8840 Pm
0.2500 0.7500 0.0000 Nd
0.7500 0.2500 0.0000 Nd
0.2500 0.7500 0.2733 Dy
0.2500 0.7500 0.7267 Dy
0.7500 0.2500 0.2733 Dy
0.7500 0.2500 0.7267 Dy
```

Values from the calculation:
Crystal system: tetragonal
Total DFT energy (no corrections) in eV/atom: -4.42
Formation energy from the elements in meV per atom: 307
Calculated density in Mg/m³: 6.76

---

# 2
Pm3Nd2Dy3 after structural relaxation. Source: the Alexandria database, functional PBE.

```
Pm3Nd2Dy3
1.0
5.1122 0.0000 0.0000
0.0000 5.1168 0.0000
0.0000 0.0000 20.4470
Pm Nd Dy
6 4 6
direct
0.0000 0.0000 0.0000 Pm
0.0000 0.5000 0.1233 Pm
0.0000 0.5000 0.8767 Pm
0.5000 0.0000 0.3767 Pm
0.5000 0.0000 0.6233 Pm
0.5000 0.5000 0.5000 Pm
0.0000 0.0000 0.2498 Nd
0.0000 0.0000 0.7502 Nd
0.5000 0.5000 0.2502 Nd
0.5000 0.5000 0.7498 Nd
0.0000 0.0000 0.5000 Dy
0.0000 0.5000 0.3760 Dy
0.0000 0.5000 0.6240 Dy
0.5000 0.0000 0.1240 Dy
0.5000 0.0000 0.8760 Dy
0.5000 0.5000 0.0000 Dy
```

Values from the calculation:
Crystal system: orthorhombic
Total DFT energy (no corrections) in eV/atom: -4.68
Formation energy from the elements in meV per atom: 17
Energy above the lowest structure with this stoichiometry in meV per atom: 0
Calculated density in Mg/m³: 7.52

---

Number 1: total magnetic moment 0.00 μB/cell. Number 2: total magnetic moment 0.00 μB/cell.